Record 1
Entry from the Alexandria database: a PBEsol-optimized structure of InSiPOs2 (meta-GGA SCAN).

Cell lengths 4.353, 4.353, 4.947 Å; angles 90.00, 90.00, 90.00 degrees
Element x y z (fractional)
Si: 0.500 0.500 0.500
Os: 0.500 0.000 0.000
P: 0.000 0.000 0.000
Os: 0.000 0.500 0.000
In: 0.000 0.000 0.500

Calculated values
**Energy relative to the elements, uncorrected**: 124 kJ/mol of atoms



Record 2
Entry from the Alexandria database: a PBEsol-optimized structure of LaTaSiI2 (meta-GGA SCAN).

Cell lengths 5.665, 5.962, 5.962 Å; angles 90.00, 90.00, 90.00 degrees
Element x y z (fractional)
Si: 0.500 0.000 0.000
I: 0.000 0.000 0.500
La: 0.000 0.000 0.000
Ta: 0.500 0.500 0.500
I: 0.000 0.500 0.000

Calculated values
**Energy relative to the elements, uncorrected**: 113 kJ/mol of atoms



Record 3
Entry from the Alexandria database: a PBEsol-optimized structure of CrP2CO (meta-GGA SCAN).

Cell lengths 3.788, 3.811, 3.811 Å; angles 90.00, 90.00, 90.00 degrees
Element x y z (fractional)
O: 0.500 0.000 0.000
P: 0.000 0.000 0.500
P: 0.000 0.500 0.000
C: 0.000 0.000 0.000
Cr: 0.500 0.500 0.500

Calculated values
**Energy relative to the elements, uncorrected**: 90 kJ/mol of atoms



Record 4
Entry from the Alexandria database: a PBEsol-optimized structure of Li4MnOF5 (meta-GGA SCAN).

Cell lengths 5.713, 5.717, 12.554 Å; angles 89.96, 89.92, 60.02 degrees
Element x y z (fractional)
Li: 0.999 0.351 0.315
F: 0.331 0.335 0.320
F: 0.002 0.000 0.309
F: 0.283 0.382 0.650
F: 0.669 0.000 0.471
Li: 0.999 0.330 0.622
Li: 0.340 0.327 0.789
F: 0.000 0.318 0.132
Mn: 0.337 0.663 0.988
Li: 0.344 0.323 0.477
Li: 0.350 0.649 0.315
F: 0.318 0.682 0.132
Li: 0.989 0.000 0.471
F: 0.001 0.339 0.834
Li: 0.001 0.000 0.166
F: 0.665 0.618 0.650
Li: 0.647 0.000 0.315
F: 0.683 0.000 0.132
Li: 0.666 0.677 0.477
O: 0.668 0.667 0.980
Li: 0.668 0.673 0.789
F: 0.049 0.000 0.657
F: 0.666 0.665 0.320
F: 0.664 0.000 0.833
F: 0.000 0.328 0.475
F: 0.340 0.661 0.834
O: 0.001 0.000 0.978
Li: 0.997 0.000 0.796
Mn: 0.001 0.337 0.988
Li: 0.328 0.670 0.622
O: 0.335 0.333 0.980
F: 0.327 0.672 0.475
Mn: 0.665 0.000 0.988

Calculated values
**Offset from the most stable computed form**: 39 meV per atom
**Energy relative to the elements, uncorrected**: -276 kJ/mol of atoms



| no. | N(E_F) (states/eV per atom) |
| --- | --- |
| 1 | 0.362 |
| 2 | 1.512 |
| 3 | 0.574 |
| 4 | 0.067 |